(1)
This record from Alexandria via LeMat-Bulk describes a relaxed RbRe2P crystal. The functional is GGA-PBE.

For the formation energy, the calculation gives 1.102 eV/atom. Its crystal system is tetragonal. The calculated density is 7.98 Mg/m³. As for the total energy: -6.717 eV/atom.

It has space group I-42d (No. 122), with a = 4.948 Å, b = 4.948 Å, c = 16.626 Å, α = 90.00°, β = 90.00° and γ = 90.00°. Symmetry generates all atoms from Rb at (0.000, 0.000, 0.000), Re at (0.011, 0.750, 0.625) and P at (0.000, 0.000, 0.500).

=====

(2)
This record from Alexandria via LeMat-Bulk describes a relaxed PmPuN crystal. The functional is GGA-PBE.

Its crystal system is orthorhombic. As for the uncorrected formation energy: -0.9 eV/f.u. The calculated density is 10.99 Mg/m³. As for the total energy: -9.445 eV/atom.

It has space group Pnma (No. 62), with a = 6.013 Å, b = 3.362 Å, c = 12.043 Å, α = 90.00°, β = 90.00° and γ = 90.00°. Symmetry generates all atoms from Pm at (0.133, 0.250, 0.192), Pu at (0.108, 0.250, 0.462) and N at (0.064, 0.250, 0.668).

=====

(3)
This record from Alexandria via LeMat-Bulk describes a relaxed Na4Tl2Hg2Pb crystal. The functional is GGA-PBE.

For the formation energy, the calculation gives -0.153 eV/atom. Its crystal system is triclinic. The calculated density is 7.43 Mg/m³. As for the total energy: -1.744 eV/atom.

It has space group P-1 (No. 2), with a = 5.369 Å, b = 6.033 Å, c = 8.374 Å, α = 105.18°, β = 107.98° and γ = 90.10°. Symmetry generates all atoms from Na at (0.120, 0.091, 0.240), Na at (0.355, 0.224, 0.710), Tl at (0.235, 0.659, 0.474), Hg at (0.445, 0.748, 0.890) and Pb at (0.000, 0.500, 0.000).

=====

Question: What is the calculated density in the second record?
Answer: 10.99 Mg/m³

=====

Question: What is the calculated density in the first record?
Answer: 7.98 Mg/m³

=====

Question: Which of these has the lowest calculated density?
Answer: Na4Tl2Hg2Pb

=====

Repeat the second record exactly.
This record from Alexandria via LeMat-Bulk describes a relaxed PmPuN crystal. The functional is GGA-PBE.

Its crystal system is orthorhombic. As for the uncorrected formation energy: -0.9 eV/f.u. The calculated density is 10.99 Mg/m³. As for the total energy: -9.445 eV/atom.

It has space group Pnma (No. 62), with a = 6.013 Å, b = 3.362 Å, c = 12.043 Å, α = 90.00°, β = 90.00° and γ = 90.00°. Symmetry generates all atoms from Pm at (0.133, 0.250, 0.192), Pu at (0.108, 0.250, 0.462) and N at (0.064, 0.250, 0.668).